Dy3HoErSc: optimized geometry, PBE-GGA.

It has space group P2_1/m (No. 11), with a = 7.800 Å, b = 4.948 Å, c = 9.827 Å, α = 90.00°, β = 108.50° and γ = 90.00°. The asymmetric unit holds Dy at (0.164, 0.250, 0.040), Dy at (0.164, 0.250, 0.542), Dy at (0.165, 0.750, 0.291), Ho at (0.499, 0.250, 0.877), Er at (0.496, 0.750, 0.626) and Sc at (0.167, 0.750, 0.792).

The energy relative to the elements comes out at 35 meV per atom. The total energy is -4.85 eV per atom.